Li2NiW | PBE | optimized geometry

Unit cell a=2.5719 b=3.8696 c=5.6535 alpha=90.00 beta=90.00 gamma=90.00
Element x y z (fractional)
Li: 0.0000 0.0000 0.0185
Li: 0.5000 0.5000 0.2431
Ni: 0.0000 0.0000 0.5271
W: 0.5000 0.5000 0.7113

Output
Energy of formation in eV per atom: 0.2478
Density in g/cm³: 7.6
Distance to the lowest polymorph of the same formula in eV per atom: 0.048
Density of states at the Fermi level in states/eV per cell: 2.770